1.
Density functional theory data (PBE) for crystalline CuAg at its relaxed geometry.

Values from the calculation:
For the total energy, the calculation gives -31.76 eV per cell. The calculation puts the formation energy at 0.19 eV per formula unit.

Cell lengths 7.3513, 7.3513, 5.6132 Å; angles 100.40, 100.40, 30.07 degrees
Last column: nearest neighbours and their distance in Å.
Atoms (fractional coordinates):
Ag (0.5983, 0.5983, 0.2884)  6 Ag 2.71-2.90, 6 Cu 2.74-2.83
Cu (0.2066, 0.2066, 0.1081)  4 Cu 2.64-2.93, 8 Ag 2.73-2.89
Cu (0.4015, 0.4015, 0.7084)  6 Ag 2.68-2.75, 6 Cu 2.70-2.82
Cu (0.3957, 0.3957, 0.2028)  7 Cu 2.64-2.82, 5 Ag 2.67-2.83
Cu (0.9964, 0.9964, 0.9990)  7 Ag 2.64-2.82, 5 Cu 2.70-2.93
Ag (0.8072, 0.8072, 0.9115)  9 Cu 2.64-2.91, 3 Ag 2.81-2.91
Ag (0.5984, 0.5984, 0.8047)  7 Ag 2.71-2.91, 5 Cu 2.74-2.81
Ag (0.9883, 0.9883, 0.4936)  7 Cu 2.63-2.82, 4 Ag 2.84-2.85
Cu (0.8001, 0.8001, 0.3894)  6 Ag 2.63-2.91, 6 Cu 2.67-2.82
Ag (0.2075, 0.2075, 0.5941)  5 Cu 2.69-2.89, 6 Ag 2.81-2.85


2.
Density functional theory data (PBE) for crystalline Cu3Ag2 at its relaxed geometry.

Values from the calculation:
For the total energy, the calculation gives -32.72 eV per cell. The calculation puts the formation energy at 0.44 eV per formula unit. As for the relative energy among the computed polymorphs: 0.046 eV/atom.

Cell lengths 4.7643, 4.7643, 8.6649 Å; angles 91.31, 91.31, 46.73 degrees
Last column: nearest neighbours and their distance in Å.
Atoms (fractional coordinates):
Ag (0.3058, 0.3058, 0.1087)  6 Cu 2.72-2.82, 6 Ag 2.73-2.96
Cu (0.0000, 0.0000, 0.0000)  10 Ag 2.72-2.81, 2 Cu 2.92
Cu (0.2057, 0.2057, 0.4152)  9 Cu 2.50-2.74, 2 Ag 2.69
Ag (0.6942, 0.6942, 0.8913)  6 Cu 2.72-2.82, 6 Ag 2.73-2.96
Ag (0.3981, 0.3981, 0.7825)  8 Cu 2.63-2.80, 3 Ag 2.73-2.78
Cu (0.0956, 0.0956, 0.6793)  6 Cu 2.50-2.74, 5 Ag 2.73-2.77
Ag (0.6019, 0.6019, 0.2175)  8 Cu 2.63-2.80, 3 Ag 2.73-2.78
Cu (0.5000, 0.5000, 0.5000)  10 Cu 2.57-2.72, 2 Ag 2.63
Cu (0.7943, 0.7943, 0.5848)  9 Cu 2.50-2.74, 2 Ag 2.69
Cu (0.9044, 0.9044, 0.3207)  6 Cu 2.50-2.74, 5 Ag 2.73-2.77


3.
Density functional theory data (PBE) for crystalline Cu4Ag5 at its relaxed geometry.

Values from the calculation:
For the total energy, the calculation gives -28.02 eV per cell. The calculation puts the formation energy at 0.97 eV per formula unit. As for the relative energy among the computed polymorphs: 0.070 eV/atom.

Cell lengths 4.8198, 4.8198, 11.5001 Å; angles 112.14, 112.14, 34.25 degrees
Last column: nearest neighbours and their distance in Å.
Atoms (fractional coordinates):
Cu (0.6712, 0.6712, 0.1800)  4 Cu 2.69-2.84, 8 Ag 2.72-2.94
Ag (0.5552, 0.5552, 0.7229)  6 Cu 2.72-2.83, 6 Ag 2.80-2.84
Cu (0.2229, 0.2229, 0.3908)  6 Cu 2.69-2.84, 6 Ag 2.75-2.83
Ag (0.0000, 0.0000, 0.5000)  6 Cu 2.75-2.80, 6 Ag 2.80-2.84
Cu (0.7771, 0.7771, 0.6092)  6 Cu 2.69-2.84, 6 Ag 2.75-2.83
Ag (0.4448, 0.4448, 0.2771)  6 Cu 2.72-2.83, 6 Ag 2.80-2.84
Ag (0.8920, 0.8920, 0.0521)  7 Ag 2.70-2.84, 5 Cu 2.79-2.94
Cu (0.3288, 0.3288, 0.8200)  4 Cu 2.69-2.84, 8 Ag 2.72-2.94
Ag (0.1080, 0.1080, 0.9479)  7 Ag 2.70-2.84, 5 Cu 2.79-2.94


4.
Density functional theory data (PBE) for crystalline Cu8Ag at its relaxed geometry.

Values from the calculation:
For the total energy, the calculation gives -32.14 eV per cell. The calculation puts the formation energy at 0.42 eV per formula unit. As for the relative energy among the computed polymorphs: 0.010 eV/atom.

Cell lengths 6.8459, 6.8459, 6.3449 Å; angles 90.92, 90.92, 22.23 degrees
Last column: nearest neighbours and their distance in Å.
Atoms (fractional coordinates):
Cu (0.3278, 0.3278, 0.9987)  10 Cu 2.47-2.70, 2 Ag 2.66
Ag (0.0000, 0.0000, 0.0000)  2 Ag 2.64, 10 Cu 2.64-2.68
Cu (0.8851, 0.8851, 0.3344)  11 Cu 2.52-2.68, 1 Ag 2.64
Cu (0.7780, 0.7780, 0.6655)  12 Cu 2.56-2.64
Cu (0.2220, 0.2220, 0.3345)  12 Cu 2.56-2.64
Cu (0.1149, 0.1149, 0.6656)  11 Cu 2.52-2.68, 1 Ag 2.64
Cu (0.5584, 0.5584, 0.3479)  10 Cu 2.51-2.70, 2 Ag 2.68
Cu (0.6722, 0.6722, 0.0013)  10 Cu 2.47-2.70, 2 Ag 2.66
Cu (0.4416, 0.4416, 0.6521)  10 Cu 2.51-2.70, 2 Ag 2.68


5.
Density functional theory data (PBE) for crystalline Cu3Ag2 at its relaxed geometry.

Values from the calculation:
For the total energy, the calculation gives -16.38 eV per cell. The calculation puts the formation energy at 0.42 eV per formula unit. As for the relative energy among the computed polymorphs: 0.042 eV/atom.

Cell lengths 7.3548, 7.3548, 7.3548 Å; angles 158.41, 150.93, 36.50 degrees
Last column: nearest neighbours and their distance in Å.
Atoms (fractional coordinates):
Ag (0.6903, 0.6903, 0.0000)  5 Cu 2.66-2.71, 6 Ag 2.75-2.84
Cu (0.0879, 0.0879, 0.0000)  5 Cu 2.46-2.61, 4 Ag 2.71
Ag (0.3097, 0.3097, 0.0000)  5 Cu 2.66-2.71, 6 Ag 2.75-2.84
Cu (0.5000, 0.5000, 0.0000)  10 Cu 2.61-2.75, 2 Ag 2.66
Cu (0.9121, 0.9121, 0.0000)  5 Cu 2.46-2.61, 4 Ag 2.71


6.
Density functional theory data (PBE) for crystalline CuAg at its relaxed geometry.

Values from the calculation:
For the total energy, the calculation gives -25.50 eV per cell. The calculation puts the formation energy at 0.17 eV per formula unit.

Cell lengths 6.0692, 6.0692, 9.2138 Å; angles 127.25, 127.25, 26.40 degrees
Last column: nearest neighbours and their distance in Å.
Atoms (fractional coordinates):
Cu (0.6994, 0.6994, 0.5648)  7 Cu 2.54-2.77, 3 Ag 2.77-2.79
Cu (0.4252, 0.4252, 0.7912)  5 Cu 2.54-2.77, 6 Ag 2.68-2.76
Ag (0.8262, 0.8262, 0.9401)  5 Cu 2.68-2.79, 7 Ag 2.77-2.98
Ag (0.0562, 0.0562, 0.6810)  6 Cu 2.70-2.86, 6 Ag 2.72-2.89
Ag (0.1738, 0.1738, 0.0599)  5 Cu 2.68-2.79, 7 Ag 2.77-2.98
Ag (0.9438, 0.9438, 0.3190)  6 Cu 2.70-2.86, 6 Ag 2.72-2.89
Cu (0.5748, 0.5748, 0.2088)  5 Cu 2.54-2.77, 6 Ag 2.68-2.76
Cu (0.3006, 0.3006, 0.4352)  7 Cu 2.54-2.77, 3 Ag 2.77-2.79


7.
Density functional theory data (PBE) for crystalline Cu4Ag5 at its relaxed geometry.

Values from the calculation:
For the total energy, the calculation gives -28.23 eV per cell. The calculation puts the formation energy at 0.76 eV per formula unit. As for the relative energy among the computed polymorphs: 0.047 eV/atom.

Cell lengths 13.1290, 13.1290, 13.1290 Å; angles 167.67, 163.55, 20.61 degrees
Last column: nearest neighbours and their distance in Å.
Atoms (fractional coordinates):
Ag (0.4544, 0.4544, 0.0000)  5 Cu 2.63-2.74, 6 Ag 2.82-2.85
Cu (0.5564, 0.5564, 0.0000)  2 Ag 2.63-2.64, 10 Cu 2.65-2.82
Ag (0.3297, 0.3297, 0.0000)  4 Cu 2.74, 7 Ag 2.81-2.85
Ag (0.8920, 0.8920, 0.0000)  10 Ag 2.82-2.85, 2 Cu 3.01-3.02
Cu (0.7754, 0.7754, 0.0000)  10 Ag 2.74-3.02, 2 Cu 2.82
Ag (0.2209, 0.2209, 0.0000)  5 Cu 2.74-3.02, 7 Ag 2.81-2.85
Cu (0.1038, 0.1038, 0.0000)  5 Cu 2.45-2.65, 4 Ag 2.74
Ag (0.6584, 0.6584, 0.0000)  5 Cu 2.64-2.74, 6 Ag 2.82-2.85
Cu (0.0090, 0.0090, 0.0000)  5 Cu 2.45-2.65, 4 Ag 2.74


8.
Density functional theory data (PBE) for crystalline CuAg5 at its relaxed geometry.

Values from the calculation:
For the total energy, the calculation gives -17.54 eV per cell. The calculation puts the formation energy at 0.30 eV per formula unit. As for the relative energy among the computed polymorphs: 0.017 eV/atom.

Cell lengths 4.9862, 4.9862, 5.7842 Å; angles 106.85, 106.85, 48.02 degrees
Last column: nearest neighbours and their distance in Å.
Atoms (fractional coordinates):
Ag (0.0000, 0.0000, 0.5000)  10 Ag 2.87-2.92, 2 Cu 2.89
Ag (0.6624, 0.6624, 0.3259)  10 Ag 2.83-2.95, 2 Cu 2.84
Ag (0.6668, 0.6668, 0.8382)  9 Ag 2.83-2.95, 3 Cu 2.86-2.88
Ag (0.3332, 0.3332, 0.1618)  9 Ag 2.83-2.95, 3 Cu 2.86-2.88
Cu (0.0000, 0.0000, 0.0000)  12 Ag 2.84-2.89
Ag (0.3376, 0.3376, 0.6741)  10 Ag 2.83-2.95, 2 Cu 2.84


9.
Density functional theory data (PBE) for crystalline Cu5Ag3 at its relaxed geometry.

Values from the calculation:
For the total energy, the calculation gives -26.30 eV per cell. The calculation puts the formation energy at 0.76 eV per formula unit. As for the relative energy among the computed polymorphs: 0.048 eV/atom.

Cell lengths 6.5805, 2.7699, 6.6744 Å; angles 90.00, 110.97, 90.00 degrees
Last column: nearest neighbours and their distance in Å.
Atoms (fractional coordinates):
Cu (0.1339, 0.5000, 0.3899)  9 Cu 2.52-2.77, 3 Ag 2.79-2.80
Cu (0.2212, 0.0000, 0.7253)  7 Cu 2.52-2.77, 3 Ag 2.72-2.73
Cu (0.5000, 0.0000, 0.5000)  4 Ag 2.64, 8 Cu 2.64-2.77
Cu (0.7788, 0.0000, 0.2747)  7 Cu 2.52-2.77, 3 Ag 2.72-2.73
Ag (0.0000, 0.0000, 0.0000)  6 Cu 2.72-2.80, 6 Ag 2.77-2.80
Ag (0.3954, 0.5000, 0.1407)  7 Cu 2.64-2.94, 5 Ag 2.70-2.80
Cu (0.8661, 0.5000, 0.6101)  9 Cu 2.52-2.77, 3 Ag 2.79-2.80
Ag (0.6046, 0.5000, 0.8593)  7 Cu 2.64-2.94, 5 Ag 2.70-2.80


10.
Density functional theory data (PBE) for crystalline CuAg at its relaxed geometry.

Values from the calculation:
For the total energy, the calculation gives -31.75 eV per cell. The calculation puts the formation energy at 0.19 eV per formula unit.

Cell lengths 4.7844, 4.7844, 8.7545 Å; angles 90.25, 90.25, 48.35 degrees
Last column: nearest neighbours and their distance in Å.
Atoms (fractional coordinates):
Ag (0.4042, 0.4042, 0.8086)  7 Ag 2.78-2.90, 5 Cu 2.79-2.89
Ag (0.1055, 0.1055, 0.6939)  5 Cu 2.74-2.93, 7 Ag 2.79-2.90
Ag (0.7062, 0.7062, 0.9175)  6 Cu 2.64-2.77, 5 Ag 2.78-2.90
Ag (0.4988, 0.4988, 0.4913)  7 Cu 2.71-2.78, 5 Ag 2.79-2.90
Cu (0.7978, 0.7978, 0.5901)  10 Ag 2.74-2.98, 2 Cu 2.78
Cu (0.0086, 0.0086, 0.0138)  7 Ag 2.64-2.93, 5 Cu 2.64-2.82
Ag (0.8911, 0.8911, 0.2907)  10 Cu 2.64-2.80, 2 Ag 2.79
Cu (0.2965, 0.2965, 0.1085)  7 Cu 2.60-2.82, 5 Ag 2.66-2.79
Cu (0.5947, 0.5947, 0.1974)  7 Cu 2.64-2.75, 5 Ag 2.64-2.77
Cu (0.1967, 0.1967, 0.3882)  5 Cu 2.60-2.78, 7 Ag 2.73-2.80


11.
Density functional theory data (PBE) for crystalline CuAg at its relaxed geometry.

Values from the calculation:
For the total energy, the calculation gives -25.48 eV per cell. The calculation puts the formation energy at 0.17 eV per formula unit.

Cell lengths 8.1971, 8.1971, 8.1971 Å; angles 152.11, 152.11, 39.86 degrees
Last column: nearest neighbours and their distance in Å.
Atoms (fractional coordinates):
Ag (0.8652, 0.8652, 0.0000)  8 Cu 2.66-2.79, 4 Ag 2.87
Cu (0.3615, 0.3615, 0.0000)  4 Cu 2.62, 8 Ag 2.79-2.91
Cu (0.2500, 0.7500, 0.5000)  8 Cu 2.62-2.79, 4 Ag 2.66
Cu (0.7500, 0.2500, 0.5000)  8 Cu 2.62-2.79, 4 Ag 2.66
Cu (0.6385, 0.6385, 0.0000)  4 Cu 2.62, 8 Ag 2.79-2.91
Ag (0.1348, 0.1348, 0.0000)  8 Cu 2.66-2.79, 4 Ag 2.87
Ag (0.5000, 0.0000, 0.5000)  8 Ag 2.79-2.87, 4 Cu 2.91
Ag (0.0000, 0.5000, 0.5000)  8 Ag 2.79-2.87, 4 Cu 2.91


12.
Density functional theory data (PBE) for crystalline Cu5Ag3 at its relaxed geometry.

Values from the calculation:
For the total energy, the calculation gives -26.30 eV per cell. The calculation puts the formation energy at 0.76 eV per formula unit. As for the relative energy among the computed polymorphs: 0.048 eV/atom.

Cell lengths 2.7830, 3.6271, 11.2140 Å; angles 90.00, 90.00, 90.00 degrees
Last column: nearest neighbours and their distance in Å.
Atoms (fractional coordinates):
Cu (0.0000, 0.0000, 0.2608)  6 Cu 2.59-2.78, 5 Ag 2.68-2.72
Ag (0.0000, 0.0000, 0.5000)  10 Cu 2.68-2.71, 2 Ag 2.78
Cu (0.0000, 0.0000, 0.0000)  8 Ag 2.71, 4 Cu 2.78-2.92
Cu (0.0000, 0.0000, 0.7392)  6 Cu 2.59-2.78, 5 Ag 2.68-2.72
Ag (0.5000, 0.5000, 0.8702)  9 Cu 2.69-2.72, 3 Ag 2.78-2.91
Cu (0.5000, 0.5000, 0.6303)  6 Cu 2.59-2.78, 5 Ag 2.69-2.71
Ag (0.5000, 0.5000, 0.1298)  9 Cu 2.69-2.72, 3 Ag 2.78-2.91
Cu (0.5000, 0.5000, 0.3697)  6 Cu 2.59-2.78, 5 Ag 2.69-2.71